Record 1
# Li3TiV2O6

A relaxed structure of Li3TiV2O6 (PBE with a Hubbard U, Alexandria).

Cell lengths 6.7331, 6.7331, 6.0252 Å; angles 103.11, 103.11, 25.39 degrees
Closest atoms and distances in Å follow each position.
Atoms (fractional coordinates):
Li 0.0000 0.0000 0.0000  6 O 2.17-2.20
Li 0.3320 0.3320 0.6705  6 O 2.12-2.26
Li 0.6658 0.6658 0.3200  6 O 2.10-2.26
Ti 0.0028 0.0028 0.5028  6 O 1.95-2.05
V 0.3328 0.3328 0.1648  6 O 2.05-2.09
V 0.6641 0.6641 0.8291  6 O 2.08-2.13
O 0.1555 0.1555 0.5736  1 Ti 1.95, 2 V 2.12, 2 Li 2.15
O 0.1722 0.1722 0.0761  3 V 2.05-2.08, 3 Li 2.10-2.20
O 0.4964 0.4964 0.2656  2 Ti 2.05, 1 V 2.09, 3 Li 2.17-2.19
O 0.4979 0.4979 0.7319  2 Ti 2.03, 3 Li 2.12-2.19, 1 V 2.12
O 0.8303 0.8303 0.9289  3 V 2.05-2.13, 3 Li 2.15-2.17
O 0.8423 0.8423 0.4074  1 Ti 2.05, 2 V 2.06, 3 Li 2.20-2.26

Results
**D(E_F)**: 0.17 states/eV per atom
**E_tot**: -85.63 eV for the cell shown


Record 2
# CoP2O2

A relaxed structure of CoP2O2 (PBE with a Hubbard U, Alexandria).

Cell lengths 3.9161, 3.9161, 4.0552 Å; angles 90.00, 90.00, 90.00 degrees
Closest atoms and distances in Å follow each position.
Atoms (fractional coordinates):
Co 0.0000 0.0000 0.0000  4 O 2.77, 8 P 2.82
P 0.0000 0.5000 0.5000  2 O 1.96
P 0.5000 0.0000 0.5000  2 O 1.96
O 0.5000 0.5000 0.0000  2 O 2.03
O 0.5000 0.5000 0.5000  4 P 1.96, 2 O 2.03

Results
**D(E_F)**: 0.43 states/eV per atom
**E_tot**: -22.01 eV for the cell shown